(1)
A plane-wave DFT calculation with PBE was carried out for a relaxed structure of KZn2Au2.

Summary:
- density of states at the Fermi level (states/eV per atom) = 0.2293
- ΔE to the lowest computed polymorph (meV per atom) = 35.3
- total energy (eV/cell) = -22.399
- formation energy (kJ/mol of atoms) = -19.3
- symmetry = P4/mbm (127)

a b c (Å): 8.2526 8.2526 2.8769
angles (deg): 90.00 90.00 90.00
Closest atoms and distances in Å follow each position.
Atoms (fractional coordinates):
K1 0.0000 0.0000 0.0000  2 K 2.88
K2 0.5000 0.5000 0.0000  2 K 2.88
Zn1 0.1187 0.3813 0.0000  3 Zn 2.77-2.88, 6 Au 2.81-2.85
Zn2 0.3813 0.8813 0.0000  3 Zn 2.77-2.88, 6 Au 2.81-2.85
Zn3 0.6187 0.1187 0.0000  3 Zn 2.77-2.88, 6 Au 2.81-2.85
Zn4 0.8813 0.6187 0.0000  3 Zn 2.77-2.88, 6 Au 2.81-2.85
Au1 0.1747 0.6747 0.5000  6 Zn 2.81-2.85, 2 Au 2.88
Au2 0.3253 0.1747 0.5000  6 Zn 2.81-2.85, 2 Au 2.88
Au3 0.6747 0.8253 0.5000  6 Zn 2.81-2.85, 2 Au 2.88
Au4 0.8253 0.3253 0.5000  6 Zn 2.81-2.85, 2 Au 2.88

=====

(2)
A plane-wave DFT calculation with PBE was carried out for a relaxed structure of K2Zn12Au7.

Summary:
- density of states at the Fermi level (states/eV per atom) = 0.4142
- total energy (eV/cell) = -44.703
- formation energy (kJ/mol of atoms) = -19.7
- symmetry = P-6 (174)

a b c (Å): 10.2013 10.2013 4.4368
angles (deg): 90.00 90.00 120.00
Closest atoms and distances in Å follow each position.
Atoms (fractional coordinates):
K1 0.0000 0.0000 0.0000  12 Zn 3.30-3.63, 6 Au 3.39
K2 0.3333 0.6667 0.5000  9 Zn 3.36-3.61, 6 Au 3.61
Zn1 0.0122 0.2878 0.5000  4 Au 2.67-2.79, 5 Zn 2.74-2.98
Zn2 0.1515 0.7659 0.0000  4 Au 2.62-2.78, 1 Zn 2.75
Zn3 0.2341 0.3855 0.0000  4 Au 2.62-2.78, 1 Zn 2.75
Zn4 0.2756 0.9878 0.5000  4 Au 2.67-2.79, 5 Zn 2.74-2.98
Zn5 0.3726 0.2129 0.0000  4 Au 2.61-2.73, 1 Zn 2.75
Zn6 0.5589 0.4144 0.5000  5 Au 2.70-2.78, 5 Zn 2.74-2.98
Zn7 0.5856 0.1445 0.5000  5 Au 2.70-2.78, 5 Zn 2.74-2.98
Zn8 0.6145 0.8485 0.0000  4 Au 2.62-2.78, 1 Zn 2.75
Zn9 0.7122 0.7244 0.5000  4 Au 2.67-2.79, 5 Zn 2.74-2.98
Zn10 0.7871 0.1596 0.0000  4 Au 2.61-2.73, 1 Zn 2.75
Zn11 0.8404 0.6274 0.0000  4 Au 2.61-2.73, 1 Zn 2.75
Zn12 0.8555 0.4411 0.5000  5 Au 2.70-2.78, 5 Zn 2.74-2.98
Au1 0.0178 0.4525 0.0000  7 Zn 2.62-2.78
Au2 0.2533 0.2500 0.5000  7 Zn 2.65-2.79
Au3 0.4347 0.9822 0.0000  7 Zn 2.62-2.78
Au4 0.5475 0.5653 0.0000  7 Zn 2.62-2.78
Au5 0.6667 0.3333 0.0000  9 Zn 2.61-2.78
Au6 0.7500 0.0034 0.5000  7 Zn 2.65-2.79
Au7 0.9966 0.7467 0.5000  7 Zn 2.65-2.79

=====

(3)
A plane-wave DFT calculation with PBE was carried out for a relaxed structure of K2ZnAu.

Summary:
- density of states at the Fermi level (states/eV per atom) = 0.4341
- ΔE to the lowest computed polymorph (meV per atom) = 153.1
- total energy (eV/cell) = -6.931
- formation energy (kJ/mol of atoms) = -4.4
- symmetry = P4/mmm (123)

a b c (Å): 5.6256 5.6256 4.2063
angles (deg): 90.00 90.00 90.00
Closest atoms and distances in Å follow each position.
Atoms (fractional coordinates):
K1 0.0000 0.5000 0.0000  4 Zn 3.51, 4 Au 3.51
K2 0.5000 0.0000 0.0000  4 Zn 3.51, 4 Au 3.51
Zn1 0.0000 0.0000 0.5000  8 K 3.51
Au1 0.5000 0.5000 0.5000  8 K 3.51

=====

(4)
A plane-wave DFT calculation with PBE was carried out for a relaxed structure of KZn2Au.

Summary:
- density of states at the Fermi level (states/eV per atom) = 0.3877
- ΔE to the lowest computed polymorph (meV per atom) = 0.0
- total energy (eV/cell) = -7.809
- formation energy (kJ/mol of atoms) = -21.4
- symmetry = C2/m (12)

a b c (Å): 4.5194 4.5194 6.5559
angles (deg): 110.49 110.49 60.09
Closest atoms and distances in Å follow each position.
Atoms (fractional coordinates):
K1 0.0000 0.0000 0.0000  2 Zn 3.32
Zn1 0.1849 0.1849 0.5542  3 Au 2.63, 3 Zn 2.69
Zn2 0.8151 0.8151 0.4458  3 Au 2.63, 3 Zn 2.69
Au1 0.5000 0.5000 0.5000  6 Zn 2.63